(A)
Entry from Alexandria: crystalline Ni2HgBr at its relaxed geometry (PBE).

Summary:
**Volume**: 72 Å³/cell
**Magnetization**: 0.58 μB per formula unit

Cell lengths 6.020, 6.020, 6.020 Å; angles 144.85, 144.85, 50.56 degrees
Atoms (fractional coordinates):
1 Br 0.500 0.500 0.000
2 Ni 0.250 0.750 0.500
3 Ni 0.000 0.000 0.000
4 Hg 0.750 0.250 0.500

(B)
Entry from Alexandria: crystalline Ni2HgBr at its relaxed geometry (PBE).

Summary:
**Volume**: 75 Å³/cell
**Magnetization**: 1.05 μB per formula unit

Cell lengths 3.198, 5.827, 4.025 Å; angles 90.00, 90.00, 90.00 degrees
Atoms (fractional coordinates):
1 Hg 0.000 0.500 0.500
2 Br 0.500 0.000 0.500
3 Ni 0.500 0.500 0.000
4 Ni 0.000 0.000 0.000

Most stable: (B). Least stable: (A).